VASP calculation (GGA-PBE) on DyHoMgSc after structural relaxation.

a b c (Å): 3.4716 3.4708 9.1177
angles (deg): 90.00 89.97 90.00
Closest atoms and distances in Å follow each position.
Positions (direct):
Sc (0.6076, 0.9297, 0.3254)  4 Mg 3.17-3.18, 4 Ho 3.36-3.37, 4 Sc 3.47
Mg (0.1080, 0.4288, 0.1047)  4 Sc 3.17-3.18, 4 Dy 3.36, 4 Mg 3.47
Dy (0.6074, 0.9300, 0.8529)  4 Mg 3.36, 4 Dy 3.47, 4 Ho 3.51
Ho (0.1074, 0.4301, 0.5778)  4 Sc 3.36-3.37, 4 Ho 3.47, 4 Dy 3.51

Output
The calculation puts the density of states at the Fermi level at 5.2 states/eV/cell. The calculation puts the offset from the most stable computed form at 0 meV per atom. The calculated total energy comes out at -17.12 eV/f.u. Its formation enthalpy at 0 K is -0.005 eV per atom.